The following is a DFT calculation (GGA-PBE) of crystalline Na2ZrNbRu at its relaxed geometry.

Structure (extended XYZ):
```
5
Lattice="-4.9901 -1.1921 -0.7411 0.8185 -0.6491 -4.4672 1.0559 -4.9912 0.9187" Properties=species:S:1:pos:R:3 pbc="T T T"
Ru 0.4093 -0.3245 -2.2336
Na 0.5279 -2.4956 0.4593
Na -2.4950 -0.5960 -0.3706
Zr -1.5578 -3.4162 -2.1448
Nb 0.0000 0.0000 0.0000
```

Computed properties:
E_form = 1.49 eV/atom